Crystalline In2CuSi2Pd5 at its relaxed geometry. Source: Alexandria, functional PBE-GGA.

E_form (uncorrected) = -334 meV per atom
electronic total energy = -49.719 eV per formula unit
crystal system = tetragonal

Cell: 3.216 10.073 10.073 Å, 90.00 90.00 90.00°
Sites, in units of the cell vectors:
Pd 0.500 0.711 0.473
Pd 0.500 0.527 0.711
Pd 0.500 0.500 0.000
Pd 0.500 0.289 0.527
Pd 0.500 0.473 0.289
Pd 0.500 0.000 0.500
Pd 0.500 0.973 0.211
Pd 0.500 0.027 0.789
Pd 0.500 0.211 0.027
Pd 0.500 0.789 0.973
Si 0.000 0.364 0.136
Si 0.000 0.136 0.636
Si 0.000 0.636 0.864
Si 0.000 0.864 0.364
Cu 0.000 0.000 0.000
Cu 0.000 0.500 0.500
In 0.000 0.178 0.322
In 0.000 0.678 0.178
In 0.000 0.322 0.822
In 0.000 0.822 0.678